1.
Mn2Cr2Co | PBE-GGA | optimized geometry

```
data_Mn2Cr2Co
_cell_length_a 6.541
_cell_length_b 6.541
_cell_length_c 2.684
_cell_angle_alpha 90.00
_cell_angle_beta 90.00
_cell_angle_gamma 90.00
_symmetry_space_group_name_H-M 'P 1'
_symmetry_Int_Tables_number 1
loop_
_symmetry_equiv_pos_as_xyz
'x,y,z'
loop_
_atom_site_label
_atom_site_type_symbol
_atom_site_fract_x
_atom_site_fract_y
_atom_site_fract_z
_atom_site_occupancy
Mn1 Mn 0.138 0.362 0.000 1
Mn2 Mn 0.362 0.862 0.000 1
Mn3 Mn 0.638 0.138 0.000 1
Mn4 Mn 0.862 0.638 0.000 1
Cr1 Cr 0.166 0.666 0.500 1
Cr2 Cr 0.334 0.166 0.500 1
Cr3 Cr 0.666 0.834 0.500 1
Cr4 Cr 0.834 0.334 0.500 1
Co1 Co 0.000 0.000 0.000 1
Co2 Co 0.500 0.500 0.000 1
```

***

2.
Mn5CrCo2 | PBE-GGA | optimized geometry

```
data_Mn5CrCo2
_cell_length_a 5.016
_cell_length_b 5.016
_cell_length_c 5.016
_cell_angle_alpha 112.16
_cell_angle_beta 112.16
_cell_angle_gamma 104.22
_symmetry_space_group_name_H-M 'P 1'
_symmetry_Int_Tables_number 1
loop_
_symmetry_equiv_pos_as_xyz
'x,y,z'
loop_
_atom_site_label
_atom_site_type_symbol
_atom_site_fract_x
_atom_site_fract_y
_atom_site_fract_z
_atom_site_occupancy
Mn1 Mn 0.000 0.000 0.000 1
Mn2 Mn 0.000 0.000 0.500 1
Mn3 Mn 0.000 0.500 0.000 1
Mn4 Mn 0.500 0.000 0.000 1
Mn5 Mn 0.500 0.500 0.500 1
Cr1 Cr 0.500 0.500 0.000 1
Co1 Co 0.000 0.500 0.500 1
Co2 Co 0.500 0.000 0.500 1
```

***

3.
Mn2CrCo5 | PBE-GGA | optimized geometry

```
data_Mn2CrCo5
_cell_length_a 6.382
_cell_length_b 6.382
_cell_length_c 6.382
_cell_angle_alpha 143.12
_cell_angle_beta 143.12
_cell_angle_gamma 53.14
_symmetry_space_group_name_H-M 'P 1'
_symmetry_Int_Tables_number 1
loop_
_symmetry_equiv_pos_as_xyz
'x,y,z'
loop_
_atom_site_label
_atom_site_type_symbol
_atom_site_fract_x
_atom_site_fract_y
_atom_site_fract_z
_atom_site_occupancy
Mn1 Mn 0.248 0.248 0.000 1
Mn2 Mn 0.752 0.752 0.000 1
Cr1 Cr 0.000 0.000 0.000 1
Co1 Co 0.122 0.622 0.500 1
Co2 Co 0.378 0.878 0.500 1
Co3 Co 0.500 0.500 0.000 1
Co4 Co 0.622 0.122 0.500 1
Co5 Co 0.878 0.378 0.500 1
```

***

4.
MnCr2Co | PBE-GGA | optimized geometry

```
data_MnCr2Co
_cell_length_a 4.644
_cell_length_b 4.644
_cell_length_c 4.644
_cell_angle_alpha 143.98
_cell_angle_beta 129.46
_cell_angle_gamma 63.61
_symmetry_space_group_name_H-M 'P 1'
_symmetry_Int_Tables_number 1
loop_
_symmetry_equiv_pos_as_xyz
'x,y,z'
loop_
_atom_site_label
_atom_site_type_symbol
_atom_site_fract_x
_atom_site_fract_y
_atom_site_fract_z
_atom_site_occupancy
Mn1 Mn 0.000 0.000 0.000 1
Cr1 Cr 0.241 0.741 0.500 1
Cr2 Cr 0.475 0.475 0.000 1
Co1 Co 0.733 0.233 0.500 1
```

***

Taking the records one at a time from the top gives mass density values of 7.89 7.65 8.15 8.05 g cm⁻³.
Taking the records one at a time from the top gives total magnetic moment values of 0.0 8.9 15.4 1.6 μB per formula unit.
Taking the records one at a time from the top gives formation enthalpy at 0 K values of 153 6 82 51 kJ/mol of formula units.